# LiHfZn5

Crystalline LiHfZn5 at its relaxed geometry (PBE, Alexandria).

total DFT energy (no corrections)	-2.58	eV/atom
formation energy	15	kJ/mol of formula units

a = 4.671 Å, b = 4.671 Å, c = 5.909 Å
α = 90.00°, β = 90.00°, γ = 108.10°
Fractional coordinates of all 7 atoms:
Li: 0.000 0.000 0.000
Hf: 0.500 0.500 0.500
Zn: 0.000 0.500 0.248
Zn: 0.000 0.500 0.752
Zn: 0.500 0.000 0.248
Zn: 0.500 0.000 0.752
Zn: 0.500 0.500 0.000


# ZrTaAl2

Crystalline ZrTaAl2 at its relaxed geometry (PBE, Alexandria).

total DFT energy (no corrections)	-7.28	eV/atom
formation energy	-121	kJ/mol of formula units
energy above the most stable polymorph in this dataset	0.063	eV/f.u.

a = 3.168 Å, b = 4.265 Å, c = 5.573 Å
α = 90.00°, β = 106.36°, γ = 90.00°
Fractional coordinates of all 4 atoms:
Zr: 0.000 0.000 0.000
Ta: 0.324 0.500 0.657
Al: 0.596 0.500 0.194
Al: 0.735 0.000 0.478